1.
Cs3MnCu2Cl8: optimized geometry, PBE.

The total DFT energy (no corrections) comes out at -52.8 eV per cell. The value obtained for the volume is 429.2 Å³ per cell. The uncorrected formation energy comes out at -1.294 eV/atom.

a = 7.190 Å, b = 7.190 Å, c = 9.585 Å
α = 90.00°, β = 90.00°, γ = 120.00°
Each line ends with the local moment (μB).
Fractional coordinates of all 14 atoms:
1 Cs 0.000 0.000 0.000  0.00
2 Cs 0.667 0.333 0.339  0.00
3 Cs 0.333 0.667 0.661  0.00
4 Cl 0.333 0.667 0.014  -0.02
5 Cl 0.678 0.839 0.346  0.00
6 Cl 0.667 0.333 0.986  -0.02
7 Cl 0.161 0.322 0.346  0.00
8 Cl 0.839 0.161 0.654  0.00
9 Cl 0.161 0.839 0.346  0.00
10 Cl 0.839 0.678 0.654  0.00
11 Cl 0.322 0.161 0.654  0.00
12 Cu 0.667 0.333 0.758  -0.19
13 Cu 0.333 0.667 0.242  -0.19
14 Mn 0.000 0.000 0.500  4.12

2.
Cs2MnCu2Cl6: optimized geometry, PBE.

The total DFT energy (no corrections) comes out at -43.2 eV per cell. The value obtained for the volume is 303.8 Å³ per cell. The uncorrected formation energy comes out at -1.189 eV/atom.

a = 7.379 Å, b = 7.379 Å, c = 7.633 Å
α = 117.68°, β = 90.00°, γ = 120.00°
Each line ends with the local moment (μB).
Fractional coordinates of all 11 atoms:
1 Cl 0.270 0.014 0.748  0.03
2 Cl 0.256 0.986 0.252  0.03
3 Cl 0.744 0.014 0.748  0.03
4 Cl 0.738 0.475 0.726  0.03
5 Cl 0.262 0.525 0.274  0.03
6 Cl 0.730 0.986 0.252  0.03
7 Mn 0.500 0.000 0.500  4.38
8 Cs 0.264 0.528 0.789  0.00
9 Cs 0.736 0.472 0.211  0.00
10 Cu 0.070 0.140 0.219  0.02
11 Cu 0.930 0.860 0.781  0.02

3.
Cs3MnCu2Cl9: optimized geometry, PBE.

The total DFT energy (no corrections) comes out at -55.0 eV per cell. The value obtained for the volume is 458.3 Å³ per cell. The uncorrected formation energy comes out at -1.232 eV/atom.

a = 7.579 Å, b = 7.579 Å, c = 9.212 Å
α = 90.00°, β = 90.00°, γ = 120.00°
Each line ends with the local moment (μB).
Fractional coordinates of all 15 atoms:
1 Cl 0.855 0.145 0.647  -0.01
2 Cl 0.500 0.500 0.000  -0.01
3 Cl 0.855 0.711 0.647  -0.01
4 Cl 0.145 0.289 0.353  -0.01
5 Cl 0.711 0.855 0.353  -0.01
6 Cl 0.000 0.500 0.000  -0.01
7 Cl 0.289 0.145 0.647  -0.01
8 Cl 0.500 0.000 0.000  -0.01
9 Cl 0.145 0.855 0.353  -0.01
10 Cs 0.333 0.667 0.636  0.00
11 Cs 0.667 0.333 0.364  0.00
12 Cs 0.000 0.000 0.000  0.00
13 Cu 0.667 0.333 0.960  -0.04
14 Cu 0.333 0.667 0.040  -0.04
15 Mn 0.000 0.000 0.500  3.17

4.
CsMn2CuCl8: optimized geometry, PBE.

The total DFT energy (no corrections) comes out at -50.6 eV per cell. The value obtained for the volume is 352.8 Å³ per cell. The uncorrected formation energy comes out at -1.044 eV/atom.

a = 6.563 Å, b = 6.563 Å, c = 9.457 Å
α = 90.00°, β = 90.00°, γ = 120.00°
Each line ends with the local moment (μB).
Fractional coordinates of all 12 atoms:
1 Cl 0.333 0.667 0.953  0.04
2 Cl 0.311 0.286 0.347  -0.01
3 Cl 0.025 0.311 0.653  -0.01
4 Cl 0.286 0.975 0.653  -0.01
5 Cl 0.667 0.333 0.047  0.04
6 Cl 0.975 0.689 0.347  -0.01
7 Cl 0.689 0.714 0.653  -0.01
8 Cl 0.714 0.025 0.347  -0.01
9 Cu 0.000 0.000 0.500  -0.43
10 Mn 0.667 0.333 0.283  3.86
11 Mn 0.333 0.667 0.717  3.86
12 Cs 0.000 0.000 0.000  0.00

5.
CsCu2MoCl8: optimized geometry, PBE.

The total DFT energy (no corrections) comes out at -44.9 eV per cell. The value obtained for the volume is 372.8 Å³ per cell. The uncorrected formation energy comes out at -0.855 eV/atom.

a = 6.187 Å, b = 6.187 Å, c = 11.800 Å
α = 74.80°, β = 74.80°, γ = 60.00°
Each line ends with the local moment (μB).
Fractional coordinates of all 12 atoms:
1 Mo 0.500 0.500 0.500  1.04
2 Cl 0.255 0.848 0.363  -0.01
3 Cl 0.697 0.697 0.910  -0.02
4 Cl 0.745 0.466 0.637  -0.01
5 Cl 0.152 0.745 0.637  -0.01
6 Cl 0.534 0.255 0.363  -0.01
7 Cl 0.303 0.303 0.090  -0.02
8 Cl 0.466 0.152 0.637  -0.01
9 Cl 0.848 0.534 0.363  -0.01
10 Cu 0.761 0.761 0.716  -0.11
11 Cu 0.239 0.239 0.284  -0.11
12 Cs 0.000 0.000 0.000  0.00

6.
Cs2CuMoCl6: optimized geometry, PBE.

The total DFT energy (no corrections) comes out at -39.8 eV per cell. The value obtained for the volume is 272.9 Å³ per cell. The uncorrected formation energy comes out at -1.210 eV/atom.

a = 7.033 Å, b = 7.033 Å, c = 7.427 Å
α = 61.74°, β = 61.74°, γ = 90.00°
Each line ends with the local moment (μB).
Fractional coordinates of all 10 atoms:
1 Cl 0.252 0.252 0.000  0.02
2 Cl 0.748 0.748 0.000  0.02
3 Cl 0.776 0.776 0.447  0.02
4 Cl 0.252 0.748 0.000  0.02
5 Cl 0.224 0.224 0.553  0.02
6 Cl 0.748 0.252 0.000  0.02
7 Cs 0.750 0.250 0.500  0.00
8 Cs 0.250 0.750 0.500  0.00
9 Cu 0.500 0.500 0.000  -0.01
10 Mo 0.000 0.000 0.000  2.47